Compound: PmPr10Tm4
Source: Alexandria
Functional: PBE
Structure: relaxed

Summary:
- Total magnetic moment: 0.0000 μB per atom
- Crystal system: tetragonal
- Formation energy from the elements: 436 meV per atom
- DOS(E_F): 24.2 states/eV/f.u.

a b c (Å): 10.095 10.095 10.822
angles (deg): 90.00 90.00 90.00
Space group I4/m (No. 87)
Asymmetric unit:
Pm1 0.000 0.000 0.000 (multiplicity 2)
Pr1 0.000 0.500 0.250 (multiplicity 4)
Pr2 0.118 0.773 0.169 (multiplicity 16)
Tm1 0.055 0.727 0.500 (multiplicity 8)


Compound: SrMnCdGa2
Source: Alexandria
Functional: PBE
Structure: relaxed

Summary:
- Total magnetic moment: 0.1453 μB per atom
- Crystal system: tetragonal
- Formation energy from the elements: -139 meV per atom
- DOS(E_F): 1.7 states/eV/f.u.

a b c (Å): 4.731 4.731 5.091
angles (deg): 90.00 90.00 90.00
Space group P4/mmm (No. 123)
Asymmetric unit:
Sr1 0.000 0.000 0.000 (multiplicity 1)
Mn1 0.500 0.500 0.500 (multiplicity 1)
Cd1 0.500 0.500 0.000 (multiplicity 1)
Ga1 0.000 0.500 0.500 (multiplicity 2)


Compound: Fe2Co2Au
Source: Alexandria
Functional: PBE
Structure: relaxed

Summary:
- Total magnetic moment: 1.6929 μB per atom
- Energy above the lowest structure with this stoichiometry: 0.27 eV/f.u.
- Crystal system: tetragonal
- Formation energy from the elements: 192 meV per atom
- DOS(E_F): 4.0 states/eV/f.u.

a b c (Å): 6.966 6.966 2.684
angles (deg): 90.00 90.00 90.00
Space group P4/mbm (No. 127)
Asymmetric unit:
Fe1 0.135 0.365 0.000 (multiplicity 4)
Co1 0.158 0.658 0.500 (multiplicity 4)
Au1 0.000 0.000 0.000 (multiplicity 2)


Compound: ZnIn2BiPt
Source: Alexandria
Functional: PBE
Structure: relaxed

Summary:
- Total magnetic moment: 0.0000 μB per atom
- Crystal system: tetragonal
- Formation energy from the elements: 106 meV per atom
- DOS(E_F): 2.5 states/eV/f.u.

a b c (Å): 5.128 5.128 5.706
angles (deg): 90.00 90.00 90.00
Space group P4/mmm (No. 123)
Asymmetric unit:
Zn1 0.000 0.000 0.000 (multiplicity 1)
In1 0.000 0.500 0.500 (multiplicity 2)
Bi1 0.500 0.500 0.000 (multiplicity 1)
Pt1 0.500 0.500 0.500 (multiplicity 1)


Compound: TlCrRhSe3
Source: Alexandria
Functional: PBE
Structure: relaxed

Summary:
- Total magnetic moment: 0.2451 μB per atom
- Formation energy without anion corrections: -0.377 eV per atom
- Crystal system: monoclinic
- DOS(E_F): 3.0 states/eV/f.u.

a b c (Å): 8.077 3.652 9.944
angles (deg): 90.00 113.64 90.00
Space group P2_1/m (No. 11)
Asymmetric unit:
Tl1 0.240 0.250 0.221 (multiplicity 2)
Cr1 0.202 0.750 0.661 (multiplicity 2)
Rh1 0.426 0.250 0.880 (multiplicity 2)
Se1 0.034 0.750 0.379 (multiplicity 2)
Se2 0.252 0.750 0.922 (multiplicity 2)
Se3 0.393 0.250 0.623 (multiplicity 2)


Compound: CrReBAu
Source: Alexandria
Functional: PBE
Structure: relaxed

Summary:
- Total magnetic moment: 0.4177 μB per atom
- Energy above the lowest structure with this stoichiometry: 1.54 eV/f.u.
- Crystal system: monoclinic
- Formation energy from the elements: 522 meV per atom
- DOS(E_F): 3.5 states/eV/f.u.

a b c (Å): 4.251 2.877 4.654
angles (deg): 90.00 104.87 90.00
Space group Pm (No. 6)
Asymmetric unit:
Cr1 0.000 0.000 0.000 (multiplicity 1)
Re1 0.544 0.500 0.140 (multiplicity 1)
B1 0.845 0.000 0.463 (multiplicity 1)
Au1 0.374 0.000 0.604 (multiplicity 1)


Compound: Na2AgSeO4
Source: Alexandria
Functional: PBE
Structure: relaxed

Summary:
- Total magnetic moment: 0.0475 μB per atom
- Formation energy without anion corrections: -0.757 eV per atom
- Crystal system: monoclinic
- DOS(E_F): 3.7 states/eV/f.u.

a b c (Å): 9.053 9.187 6.594
angles (deg): 90.00 130.78 90.00
Space group C2/c (No. 15)
Asymmetric unit:
Na1 0.000 0.000 0.000 (multiplicity 4)
Na2 0.250 0.250 0.000 (multiplicity 4)
Ag1 0.250 0.250 0.500 (multiplicity 4)
Se1 0.000 0.500 0.000 (multiplicity 4)
O1 0.025 0.283 0.529 (multiplicity 8)
O2 0.213 0.492 0.449 (multiplicity 8)


Compound: La6YIn
Source: Alexandria
Functional: PBE
Structure: relaxed

Summary:
- Total magnetic moment: 0.0000 μB per atom
- Crystal system: tetragonal
- Formation energy from the elements: -129 meV per atom
- DOS(E_F): 10.7 states/eV/f.u.

a b c (Å): 5.126 5.126 10.415
angles (deg): 90.00 90.00 90.00
Space group P4/mmm (No. 123)
Asymmetric unit:
La1 0.000 0.000 0.000 (multiplicity 1)
La2 0.000 0.000 0.500 (multiplicity 1)
La3 0.000 0.500 0.244 (multiplicity 4)
Y1 0.500 0.500 0.500 (multiplicity 1)
In1 0.500 0.500 0.000 (multiplicity 1)


What is the DOS(E_F) in the third record? 4.0 states/eV/f.u.


The highest DOS(E_F) belongs to which entry? PmPr10Tm4


Which formula does entry 3 have? Fe2Co2Au